# TbTmHf2N4, relaxed, DFT PBE
data_TbTmHf2N4
_chemical_formula_sum 'Tb1 Tm1 Hf2 N4'
_space_group_name_H-M_alt 'P 1'
_space_group_IT_number 1
_space_group_name_Hall 'P 1'
_cell_length_a 4.700
_cell_length_b 4.700
_cell_length_c 5.733
_cell_angle_alpha 114.20
_cell_angle_beta 114.20
_cell_angle_gamma 90.00
loop_
_atom_site_label
_atom_site_type_symbol
_atom_site_fract_x
_atom_site_fract_y
_atom_site_fract_z
Tb1 Tb 0.750 0.250 0.500
Tm1 Tm 0.500 0.500 0.000
Hf1 Hf 0.250 0.750 0.500
Hf2 Hf 0.000 0.000 0.000
N1 N 0.010 0.510 0.020
N2 N 0.490 0.990 0.980
N3 N 0.758 0.758 0.515
N4 N 0.242 0.242 0.485
# SG: No. 119
# ΔE_f (raw): -1.752 eV per atom